# 1
LaErTh: optimized geometry, PBE-GGA.

Results
- Raw total energy: -4.90 eV per atom
- E_form: 0.731 eV/atom
- Size of the total moment: 0.04 μB/f.u.
- Offset from the most stable computed form: 0.000 eV/atom

Cell lengths 5.4534, 5.4534, 5.4534 Å; angles 60.00, 60.00, 60.00 degrees
Last column: nearest neighbours and their distance in Å.
Sites, in units of the cell vectors:
Er 0.0000 0.0000 0.0000  4 Th 3.34, 4 La 3.34
La 0.2500 0.2500 0.2500  4 Er 3.34
Th 0.7500 0.7500 0.7500  4 Er 3.34

# 2
ErTmGa2Ag2: optimized geometry, PBE-GGA.

Results
- Raw total energy: -3.95 eV per atom
- Size of the total moment: 0.01 μB/f.u.

Cell lengths 4.5679, 4.5679, 6.9199 Å; angles 90.00, 90.00, 120.00 degrees
Last column: nearest neighbours and their distance in Å.
Sites, in units of the cell vectors:
Ag 0.6667 0.3333 0.2385  3 Ga 2.66
Ag 0.6667 0.3333 0.7615  3 Ga 2.66
Er 0.0000 0.0000 0.0000  6 Ag 3.11, 6 Ga 3.29, 2 Tm 3.46
Ga 0.3333 0.6667 0.2849  3 Ag 2.66
Ga 0.3333 0.6667 0.7151  3 Ag 2.66
Tm 0.0000 0.0000 0.5000  6 Ga 3.03, 6 Ag 3.20

size of the total moment of number 2 (ErTmGa2Ag2)? 0.01 μB/f.u.